Record 1
The following is a PBE calculation of a geometry-optimized LiLaCd3 structure, from Alexandria.

a = 4.9557 Å, b = 4.9557 Å, c = 4.9557 Å
α = 90.00°, β = 90.00°, γ = 90.00°
With the nearest neighbours (Å) after each atom.
Element x y z (fractional)
Li 0.0000 0.0000 0.0000  6 Cd 2.48
Cd 0.0000 0.5000 0.0000  2 Li 2.48
Cd 0.0000 0.0000 0.5000  2 Li 2.48
Cd 0.5000 0.0000 0.0000  2 Li 2.48
La 0.5000 0.5000 0.5000  12 Cd 3.50

Calculated values
Energy relative to the elements   -0.174 eV per atom
M_tot   0.0 μB/f.u.
Crystal system   cubic
Offset from the most stable computed form   55 meV/atom
SG   Pm-3m, No. 221


Record 2
The following is a PBE calculation of a geometry-optimized AcAlSiPt3 structure, from Alexandria.

a = 5.7484 Å, b = 6.9595 Å, c = 7.3470 Å
α = 118.27°, β = 90.00°, γ = 90.00°
With the nearest neighbours (Å) after each atom.
Element x y z (fractional)
Pt 0.0000 0.2902 0.0000  2 Si 2.41, 2 Al 2.51
Pt 0.5000 0.7098 0.0000  2 Si 2.41, 2 Al 2.51
Pt 0.5000 0.2902 0.0000  2 Si 2.41, 2 Al 2.51
Pt 0.7500 0.7771 0.5542  1 Si 2.32, 1 Al 2.48
Pt 0.2500 0.2229 0.4458  1 Si 2.32, 1 Al 2.48
Pt 0.0000 0.7098 0.0000  2 Si 2.41, 2 Al 2.51
Al 0.2500 0.0313 0.0627  5 Pt 2.48-2.51
Al 0.7500 0.9687 0.9373  5 Pt 2.48-2.51
Si 0.7500 0.5975 0.1950  5 Pt 2.32-2.41
Si 0.2500 0.4025 0.8050  5 Pt 2.32-2.41
Ac 0.2500 0.7319 0.4639  2 Pt 2.93
Ac 0.7500 0.2681 0.5361  2 Pt 2.93

Calculated values
ΔE_f (raw)   -544 kJ/mol of formula units
M_tot   0.0 μB/f.u.
Crystal system   orthorhombic
SG   Cmcm, No. 63


Record 3
The following is a PBE calculation of a geometry-optimized NdZn2Cu2 structure, from Alexandria.

a = 4.2366 Å, b = 4.6177 Å, c = 5.3986 Å
α = 109.22°, β = 113.10°, γ = 90.00°
With the nearest neighbours (Å) after each atom.
Element x y z (fractional)
Zn 0.3627 0.4158 0.7255  4 Cu 2.47-2.52, 1 Zn 2.55
Zn 0.6373 0.5842 0.2745  4 Cu 2.47-2.52, 1 Zn 2.55
Nd 0.0000 0.0000 0.0000  6 Cu 2.97-3.06, 4 Zn 3.32
Cu 0.7376 0.1651 0.4752  4 Zn 2.47-2.52, 2 Cu 2.67
Cu 0.2624 0.8349 0.5248  4 Zn 2.47-2.52, 2 Cu 2.67

Calculated values
Energy relative to the elements   -0.220 eV per atom
M_tot   0.0 μB/f.u.
Crystal system   monoclinic
Offset from the most stable computed form   13 meV/atom
SG   C2/m, No. 12


Record 4
The following is a PBE calculation of a geometry-optimized Na2SbSO4F3 structure, from Alexandria.

a = 8.4267 Å, b = 8.4267 Å, c = 11.3394 Å
α = 90.00°, β = 90.00°, γ = 128.77°
With the nearest neighbours (Å) after each atom.
Element x y z (fractional)
O 0.2708 0.7951 0.8949  1 S 1.49
O 0.7049 0.2292 0.3949  1 S 1.49
O 0.5400 0.7862 0.4781  1 S 1.51
O 0.7708 0.2951 0.6051  1 S 1.49
O 0.7292 0.2049 0.1051  1 S 1.49
O 0.9600 0.7138 0.9781  1 S 1.51
O 0.2862 0.0400 0.0219  1 S 1.51
O 0.7951 0.2708 0.8949  1 S 1.49
O 0.2951 0.7708 0.6051  1 S 1.49
O 0.2292 0.7049 0.3949  1 S 1.49
O 0.7862 0.5400 0.4781  1 S 1.51
O 0.2138 0.4600 0.5219  1 S 1.51
O 0.2049 0.7292 0.1051  1 S 1.49
O 0.7138 0.9600 0.9781  1 S 1.51
O 0.4600 0.2138 0.5219  1 S 1.51
O 0.0400 0.2862 0.0219  1 S 1.51
F 0.2891 0.1034 0.2779  1 Sb 2.01
F 0.2109 0.3966 0.7779  1 Sb 2.01
F 0.3966 0.2109 0.7779  1 Sb 2.01
F 0.8830 0.8830 0.3847  1 Sb 2.01
F 0.3830 0.3830 0.1153  1 Sb 2.01
F 0.6034 0.7891 0.2221  1 Sb 2.01
F 0.7109 0.8966 0.7221  1 Sb 2.01
F 0.6170 0.6170 0.8847  1 Sb 2.01
F 0.1170 0.1170 0.6153  1 Sb 2.01
F 0.8966 0.7109 0.7221  1 Sb 2.01
F 0.7891 0.6034 0.2221  1 Sb 2.01
F 0.1034 0.2891 0.2779  1 Sb 2.01
Na 0.6189 0.3811 0.0000  2 F 2.39, 4 O 2.47-2.49
Na 0.4718 0.9718 0.2500  2 F 2.42, 4 O 2.43-2.49
Na 0.1189 0.8811 0.5000  2 F 2.39, 4 O 2.47-2.49
Na 0.5282 0.0282 0.7500  2 F 2.42, 4 O 2.43-2.49
Na 0.0282 0.5282 0.7500  2 F 2.42, 4 O 2.43-2.49
Na 0.9718 0.4718 0.2500  2 F 2.42, 4 O 2.43-2.49
Na 0.8811 0.1189 0.5000  2 F 2.39, 4 O 2.47-2.49
Na 0.3811 0.6189 0.0000  2 F 2.39, 4 O 2.47-2.49
Sb 0.1175 0.1175 0.1625  3 F 2.01
Sb 0.6175 0.6175 0.3375  3 F 2.01
Sb 0.8825 0.8825 0.8375  3 F 2.01
Sb 0.3825 0.3825 0.6625  3 F 2.01
S 0.1816 0.8184 0.0000  4 O 1.49-1.51
S 0.8184 0.1816 0.0000  4 O 1.49-1.51
S 0.3184 0.6816 0.5000  4 O 1.49-1.51
S 0.6816 0.3184 0.5000  4 O 1.49-1.51

Calculated values
ΔE_f (raw)   -2163 kJ/mol of formula units
M_tot   0.0 μB/f.u.
Crystal system   orthorhombic
SG   Cmce, No. 64